No. 1
! PBE CdMo2Pt, relaxed; values from VASP
&SYSTEM
  ibrav = 0, nat = 4, ntyp = 3
/
ATOMIC_SPECIES
Cd 112.41 Cd.upf
Mo 95.94 Mo.upf
Pt 195.08 Pt.upf
ATOMIC_POSITIONS crystal
Cd 0.750 0.750 0.750
Mo 0.995 0.995 0.995
Mo 0.505 0.505 0.505
Pt 0.250 0.250 0.250
CELL_PARAMETERS angstrom
-1.078 -0.171 -9.728
-3.802 -0.379 -9.013
-2.579 2.160 -9.193
! - M_tot (Bohr magnetons per cell) = 0.00
! - energy of formation from the pure elements (eV per atom) = 0.196
! - symmetry = R-3m

---

No. 2
! PBE Cd2MoPt, relaxed; values from VASP
&SYSTEM
  ibrav = 0, nat = 4, ntyp = 3
/
ATOMIC_SPECIES
Cd 112.41 Cd.upf
Mo 95.94 Mo.upf
Pt 195.08 Pt.upf
ATOMIC_POSITIONS crystal
Cd 0.000 0.000 0.000
Cd 0.000 0.500 0.500
Mo 0.500 0.500 0.000
Pt 0.500 0.000 0.500
CELL_PARAMETERS angstrom
-3.290 -2.449 -1.466
1.730 -3.298 1.624
-2.023 0.645 3.464
! - M_tot (Bohr magnetons per cell) = 1.15
! - E above lowest polymorph (eV per atom) = 0.299
! - energy of formation from the pure elements (eV per atom) = 0.263
! - symmetry = P4/mmm

---

No. 3
! PBE Cd2MoPt, relaxed; values from VASP
&SYSTEM
  ibrav = 0, nat = 4, ntyp = 3
/
ATOMIC_SPECIES
Cd 112.41 Cd.upf
Mo 95.94 Mo.upf
Pt 195.08 Pt.upf
ATOMIC_POSITIONS crystal
Cd 0.997 0.997 0.993
Cd 0.752 0.752 0.752
Mo 0.504 0.504 0.470
Pt 0.247 0.247 0.284
CELL_PARAMETERS angstrom
-4.348 -2.150 -0.617
-2.715 -3.984 0.819
-2.242 1.658 4.666
! - M_tot (Bohr magnetons per cell) = 0.00
! - E above lowest polymorph (eV per atom) = 0.174
! - energy of formation from the pure elements (eV per atom) = 0.138
! - symmetry = Cm

---

No. 4
! PBE Cd2MoPt, relaxed; values from VASP
&SYSTEM
  ibrav = 0, nat = 4, ntyp = 3
/
ATOMIC_SPECIES
Cd 112.41 Cd.upf
Mo 95.94 Mo.upf
Pt 195.08 Pt.upf
ATOMIC_POSITIONS crystal
Cd 0.000 0.000 0.000
Cd 0.500 0.500 0.000
Mo 0.500 0.000 0.500
Pt 0.000 0.500 0.500
CELL_PARAMETERS angstrom
2.878 0.000 0.000
0.000 5.001 0.000
0.000 0.000 4.982
! - M_tot (Bohr magnetons per cell) = 0.67
! - E above lowest polymorph (eV per atom) = 0.267
! - energy of formation from the pure elements (eV per atom) = 0.231
! - symmetry = Pmmm

---

No. 5
! PBE CdMoPt2, relaxed; values from VASP
&SYSTEM
  ibrav = 0, nat = 4, ntyp = 3
/
ATOMIC_SPECIES
Cd 112.41 Cd.upf
Mo 95.94 Mo.upf
Pt 195.08 Pt.upf
ATOMIC_POSITIONS crystal
Cd 0.500 0.500 0.000
Mo 0.750 0.250 0.500
Pt 0.000 0.000 0.000
Pt 0.250 0.750 0.500
CELL_PARAMETERS angstrom
4.950 0.002 0.000
1.655 4.665 0.000
-3.303 -2.333 2.855
! - M_tot (Bohr magnetons per cell) = 0.01
! - energy of formation from the pure elements (eV per atom) = 0.016
! - symmetry = I-4m2

---

No. 6
! PBE CdMo2Pt2, relaxed; values from VASP
&SYSTEM
  ibrav = 0, nat = 10, ntyp = 3
/
ATOMIC_SPECIES
Mo 95.94 Mo.upf
Pt 195.08 Pt.upf
Cd 112.41 Cd.upf
ATOMIC_POSITIONS crystal
Mo 0.173 0.673 0.500
Mo 0.673 0.827 0.500
Mo 0.827 0.327 0.500
Mo 0.327 0.173 0.500
Pt 0.378 0.878 0.000
Pt 0.878 0.622 0.000
Pt 0.622 0.122 0.000
Pt 0.122 0.378 0.000
Cd 0.000 0.000 0.000
Cd 0.500 0.500 0.000
CELL_PARAMETERS angstrom
-0.194 -0.906 7.854
-3.848 -6.852 -0.886
2.404 -1.338 -0.095
! - M_tot (Bohr magnetons per cell) = 0.00
! - E above lowest polymorph (eV per atom) = 0.000
! - energy of formation from the pure elements (eV per atom) = 0.013
! - symmetry = P4/mbm

---

No. 7
! PBE CdMo2Pt2, relaxed; values from VASP
&SYSTEM
  ibrav = 0, nat = 5, ntyp = 3
/
ATOMIC_SPECIES
Mo 95.94 Mo.upf
Pt 195.08 Pt.upf
Cd 112.41 Cd.upf
ATOMIC_POSITIONS crystal
Mo 0.750 0.250 0.500
Mo 0.250 0.750 0.500
Pt 0.401 0.401 0.198
Pt 0.599 0.599 0.802
Cd 0.000 0.000 0.000
CELL_PARAMETERS angstrom
-0.483 2.291 2.824
-1.373 -2.753 1.998
5.193 -1.673 4.628
! - M_tot (Bohr magnetons per cell) = 0.00
! - E above lowest polymorph (eV per atom) = 0.054
! - energy of formation from the pure elements (eV per atom) = 0.068
! - symmetry = I4/mmm

---

No. 8
! PBE Cd2MoPt, relaxed; values from VASP
&SYSTEM
  ibrav = 0, nat = 4, ntyp = 3
/
ATOMIC_SPECIES
Cd 112.41 Cd.upf
Mo 95.94 Mo.upf
Pt 195.08 Pt.upf
ATOMIC_POSITIONS crystal
Cd 0.009 0.009 0.000
Cd 0.491 0.491 0.000
Mo 0.750 0.250 0.500
Pt 0.250 0.750 0.500
CELL_PARAMETERS angstrom
5.812 -0.011 0.006
2.965 4.999 -0.006
-3.662 -3.774 2.477
! - M_tot (Bohr magnetons per cell) = 0.66
! - E above lowest polymorph (eV per atom) = 0.239
! - energy of formation from the pure elements (eV per atom) = 0.203
! - symmetry = Immm

---

No. 9
! PBE CdMo4Pt, relaxed; values from VASP
&SYSTEM
  ibrav = 0, nat = 6, ntyp = 3
/
ATOMIC_SPECIES
Cd 112.41 Cd.upf
Mo 95.94 Mo.upf
Pt 195.08 Pt.upf
ATOMIC_POSITIONS crystal
Cd 0.000 0.000 0.000
Mo 0.626 0.626 0.122
Mo 0.626 0.122 0.626
Mo 0.626 0.626 0.626
Mo 0.122 0.626 0.626
Pt 0.250 0.250 0.250
CELL_PARAMETERS angstrom
0.000 3.712 3.712
3.712 0.000 3.712
3.712 3.712 0.000
! - M_tot (Bohr magnetons per cell) = 0.00
! - energy of formation from the pure elements (eV per atom) = 0.335
! - symmetry = F-43m

---

No. 10
! PBE CdMo2Pt, relaxed; values from VASP
&SYSTEM
  ibrav = 0, nat = 4, ntyp = 3
/
ATOMIC_SPECIES
Cd 112.41 Cd.upf
Mo 95.94 Mo.upf
Pt 195.08 Pt.upf
ATOMIC_POSITIONS crystal
Cd 0.500 0.500 0.500
Mo 0.000 0.000 0.000
Mo 0.250 0.250 0.250
Pt 0.750 0.750 0.750
CELL_PARAMETERS angstrom
-2.926 -3.495 -0.040
0.086 -3.083 3.356
-3.398 -0.162 3.034
! - M_tot (Bohr magnetons per cell) = 0.00
! - energy of formation from the pure elements (eV per atom) = 0.278
! - symmetry = F-43m

---

No. 11
! PBE CdMoPt2, relaxed; values from VASP
&SYSTEM
  ibrav = 0, nat = 4, ntyp = 3
/
ATOMIC_SPECIES
Cd 112.41 Cd.upf
Mo 95.94 Mo.upf
Pt 195.08 Pt.upf
ATOMIC_POSITIONS crystal
Cd 0.500 0.500 0.000
Mo 0.500 0.000 0.500
Pt 0.000 0.000 0.000
Pt 0.000 0.500 0.500
CELL_PARAMETERS angstrom
3.969 0.000 0.000
0.000 4.117 0.000
0.000 0.000 4.117
! - M_tot (Bohr magnetons per cell) = 2.09
! - energy of formation from the pure elements (eV per atom) = 0.125
! - symmetry = P4/mmm

---

No. 12
! PBE Cd2MoPt, relaxed; values from VASP
&SYSTEM
  ibrav = 0, nat = 4, ntyp = 3
/
ATOMIC_SPECIES
Mo 95.94 Mo.upf
Pt 195.08 Pt.upf
Cd 112.41 Cd.upf
ATOMIC_POSITIONS crystal
Mo 0.000 0.000 0.000
Pt 0.500 0.500 0.500
Cd 0.250 0.250 0.250
Cd 0.750 0.750 0.750
CELL_PARAMETERS angstrom
0.000 3.307 3.307
3.307 0.000 3.307
3.307 3.307 0.000
! - M_tot (Bohr magnetons per cell) = 2.41
! - E above lowest polymorph (eV per atom) = 0.351
! - energy of formation from the pure elements (eV per atom) = 0.315
! - symmetry = Fm-3m

---

No. 13
! PBE Cd2MoPt, relaxed; values from VASP
&SYSTEM
  ibrav = 0, nat = 4, ntyp = 3
/
ATOMIC_SPECIES
Cd 112.41 Cd.upf
Mo 95.94 Mo.upf
Pt 195.08 Pt.upf
ATOMIC_POSITIONS crystal
Cd 0.002 0.002 0.002
Cd 0.498 0.498 0.498
Mo 0.250 0.250 0.250
Pt 0.750 0.750 0.750
CELL_PARAMETERS angstrom
9.786 -0.010 -0.006
9.355 2.872 -0.006
9.355 1.399 2.509
! - M_tot (Bohr magnetons per cell) = 0.02
! - E above lowest polymorph (eV per atom) = 0.244
! - energy of formation from the pure elements (eV per atom) = 0.208
! - symmetry = R-3m

---

No. 14
! PBE CdMoPt, relaxed; values from VASP
&SYSTEM
  ibrav = 0, nat = 6, ntyp = 3
/
ATOMIC_SPECIES
Cd 112.41 Cd.upf
Pt 195.08 Pt.upf
Mo 95.94 Mo.upf
ATOMIC_POSITIONS crystal
Cd 0.000 0.500 0.602
Cd 0.500 0.000 0.398
Pt 0.000 0.500 0.228
Pt 0.500 0.000 0.772
Mo 0.500 0.000 0.084
Mo 0.000 0.500 0.916
CELL_PARAMETERS angstrom
-0.650 0.819 2.626
-2.205 -1.767 0.005
7.550 -9.406 4.806
! - M_tot (Bohr magnetons per cell) = 0.00
! - E above lowest polymorph (eV per atom) = 0.000
! - energy of formation from the pure elements (eV per atom) = -0.168
! - symmetry = P4/nmm

---

No. 15
! PBE Cd2MoPt, relaxed; values from VASP
&SYSTEM
  ibrav = 0, nat = 4, ntyp = 3
/
ATOMIC_SPECIES
Cd 112.41 Cd.upf
Mo 95.94 Mo.upf
Pt 195.08 Pt.upf
ATOMIC_POSITIONS crystal
Cd 0.000 0.007 0.993
Cd 0.500 0.241 0.259
Mo 0.000 0.473 0.527
Pt 0.500 0.779 0.721
CELL_PARAMETERS angstrom
-2.167 3.381 -0.545
-2.395 -1.448 0.540
-1.845 -0.119 6.600
! - M_tot (Bohr magnetons per cell) = 0.00
! - E above lowest polymorph (eV per atom) = 0.122
! - energy of formation from the pure elements (eV per atom) = 0.086
! - symmetry = Pm

---

No. 16
! PBE CdMoPt2, relaxed; values from VASP
&SYSTEM
  ibrav = 0, nat = 4, ntyp = 3
/
ATOMIC_SPECIES
Cd 112.41 Cd.upf
Mo 95.94 Mo.upf
Pt 195.08 Pt.upf
ATOMIC_POSITIONS crystal
Cd 0.500 0.000 0.500
Mo 0.000 0.500 0.500
Pt 0.000 0.000 0.000
Pt 0.500 0.500 0.000
CELL_PARAMETERS angstrom
4.947 0.018 -0.001
-1.517 4.708 -0.001
0.001 0.001 2.824
! - M_tot (Bohr magnetons per cell) = 0.65
! - energy of formation from the pure elements (eV per atom) = -0.099
! - symmetry = Cmmm

---

No. 17
! PBE Cd4MoPt, relaxed; values from VASP
&SYSTEM
  ibrav = 0, nat = 6, ntyp = 3
/
ATOMIC_SPECIES
Cd 112.41 Cd.upf
Mo 95.94 Mo.upf
Pt 195.08 Pt.upf
ATOMIC_POSITIONS crystal
Cd 0.876 0.375 0.375
Cd 0.375 0.375 0.876
Cd 0.375 0.876 0.375
Cd 0.375 0.375 0.375
Mo 0.750 0.750 0.750
Pt 0.000 0.000 0.000
CELL_PARAMETERS angstrom
0.000 3.909 3.909
3.909 0.000 3.909
3.909 3.909 0.000
! - M_tot (Bohr magnetons per cell) = 4.01
! - energy of formation from the pure elements (eV per atom) = 0.500
! - symmetry = F-43m

---

No. 18
! PBE CdMo2Pt, relaxed; values from VASP
&SYSTEM
  ibrav = 0, nat = 4, ntyp = 3
/
ATOMIC_SPECIES
Cd 112.41 Cd.upf
Mo 95.94 Mo.upf
Pt 195.08 Pt.upf
ATOMIC_POSITIONS crystal
Cd 0.500 0.500 0.750
Mo 0.000 0.000 0.014
Mo 0.000 0.000 0.486
Pt 0.500 0.500 0.250
CELL_PARAMETERS angstrom
-2.422 0.206 1.295
-1.255 -1.145 -2.168
1.193 -7.909 3.487
! - M_tot (Bohr magnetons per cell) = 0.00
! - energy of formation from the pure elements (eV per atom) = 0.106
! - symmetry = P4/mmm

---

No. 19
! PBE CdMo2Pt, relaxed; values from VASP
&SYSTEM
  ibrav = 0, nat = 4, ntyp = 3
/
ATOMIC_SPECIES
Cd 112.41 Cd.upf
Mo 95.94 Mo.upf
Pt 195.08 Pt.upf
ATOMIC_POSITIONS crystal
Cd 0.500 0.500 0.746
Mo 0.000 0.000 0.031
Mo 0.500 0.500 0.233
Pt 0.000 0.000 0.490
CELL_PARAMETERS angstrom
-0.125 2.880 1.551
-3.228 0.142 -0.523
-1.021 -3.002 5.495
! - M_tot (Bohr magnetons per cell) = 0.00
! - energy of formation from the pure elements (eV per atom) = 0.102
! - symmetry = P4mm

---

No. 20
! PBE CdMo2Pt, relaxed; values from VASP
&SYSTEM
  ibrav = 0, nat = 4, ntyp = 3
/
ATOMIC_SPECIES
Cd 112.41 Cd.upf
Mo 95.94 Mo.upf
Pt 195.08 Pt.upf
ATOMIC_POSITIONS crystal
Cd 0.750 0.250 0.500
Mo 0.000 0.000 0.000
Mo 0.500 0.500 0.000
Pt 0.250 0.750 0.500
CELL_PARAMETERS angstrom
-2.435 0.543 -4.578
2.892 -0.549 -4.303
-0.774 -2.664 4.414
! - M_tot (Bohr magnetons per cell) = 0.00
! - energy of formation from the pure elements (eV per atom) = 0.117
! - symmetry = I4/mmm